[1]
VSi3Ir after structural relaxation, computed with PBE.

It has space group Pm-3m (No. 221), with a = 4.6338 Å, b = 4.6338 Å, c = 4.6338 Å, α = 90.00°, β = 90.00° and γ = 90.00°. The distinct sites, in fractional coordinates, are V at (0.0000, 0.0000, 0.0000), Si at (0.0000, 0.5000, 0.5000) and Ir at (0.5000, 0.5000, 0.5000).


[2]
Hg3AuO3 after structural relaxation, computed with PBE.

It has space group P6_3/m (No. 176), with a = 7.7038 Å, b = 7.7038 Å, c = 4.6580 Å, α = 90.00°, β = 90.00° and γ = 120.00°. The distinct sites, in fractional coordinates, are Hg at (0.0462, 0.6966, 0.2500), Au at (0.3333, 0.6667, 0.7500) and O at (0.0164, 0.6858, 0.7500).


Asked for formation energy (no corrections) across the records above, the calculation gives 0.803, 0.045 eV/atom in order.